<w>
VASP calculation (PBE) on KBa3Hg after structural relaxation.

a b c (Å): 7.0815 7.0815 7.0815
angles (deg): 90.00 90.00 90.00
Last column: nearest neighbours and their distance in Å.
Atoms (fractional coordinates):
Ba1 0.5000 0.0000 0.0000  2 K 3.54
Ba2 0.0000 0.0000 0.5000  2 K 3.54
K1 0.0000 0.0000 0.0000  6 Ba 3.54
Ba3 0.0000 0.5000 0.0000  2 K 3.54
Hg1 0.5000 0.5000 0.5000  12 Ba 5.01

Results
D(E_F)   9.1 states/eV/f.u.
Calculated volume   71.02 A^3/atom

<x>
VASP calculation (PBE) on KBa3Hg after structural relaxation.

a b c (Å): 6.7863 6.7863 6.7863
angles (deg): 90.00 90.00 90.00
Last column: nearest neighbours and their distance in Å.
Atoms (fractional coordinates):
Ba1 0.5000 0.0000 0.0000  2 Hg 3.39
Ba2 0.0000 0.5000 0.0000  2 Hg 3.39
Hg1 0.0000 0.0000 0.0000  6 Ba 3.39
K1 0.5000 0.5000 0.5000  12 Ba 4.80
Ba3 0.0000 0.0000 0.5000  2 Hg 3.39

Results
D(E_F)   4.8 states/eV/f.u.
Calculated volume   62.51 A^3/atom

Question: which arrangement is favored energetically? Ranking from most to least stable: <x>, <w>.

<w>
VASP calculation (PBE) on KBaHg2Pd after structural relaxation.

a b c (Å): 5.4725 5.4725 5.5459
angles (deg): 90.00 90.00 90.00
Last column: nearest neighbours and their distance in Å.
Atoms (fractional coordinates):
Hg1 0.0000 0.5000 0.0000  2 Pd 2.74
K1 0.0000 0.0000 0.5000  2 Pd 2.77
Hg2 0.5000 0.0000 0.0000  2 Pd 2.74
Pd1 0.0000 0.0000 0.0000  4 Hg 2.74, 2 K 2.77
Ba1 0.5000 0.5000 0.5000  4 K 3.87, 8 Hg 3.90

Results
D(E_F)   3.9 states/eV/f.u.
Calculated volume   33.22 A^3/atom

<x>
VASP calculation (PBE) on KBaHg2Pd after structural relaxation.

a b c (Å): 5.5602 5.5602 5.7143
angles (deg): 90.00 90.00 90.00
Last column: nearest neighbours and their distance in Å.
Atoms (fractional coordinates):
Pd1 0.0000 0.0000 0.0000  4 Hg 2.78, 2 Ba 2.86
Hg1 0.5000 0.0000 0.0000  2 Pd 2.78
Ba1 0.0000 0.0000 0.5000  2 Pd 2.86
Hg2 0.0000 0.5000 0.0000  2 Pd 2.78
K1 0.5000 0.5000 0.5000  4 Ba 3.93, 8 Hg 3.99

Results
D(E_F)   2.7 states/eV/f.u.
Calculated volume   35.33 A^3/atom

Question: which arrangement is favored energetically? Ranking from most to least stable: <x>, <w>.

<w>
VASP calculation (PBE) on KBaSr2Hg after structural relaxation.

a b c (Å): 6.4116 6.4116 6.7338
angles (deg): 90.00 90.00 90.00
Last column: nearest neighbours and their distance in Å.
Atoms (fractional coordinates):
K1 0.0000 0.0000 0.5000  2 Hg 3.37
Ba1 0.5000 0.5000 0.5000  4 K 4.53, 8 Sr 4.65
Hg1 0.0000 0.0000 0.0000  4 Sr 3.21, 2 K 3.37
Sr1 0.5000 0.0000 0.0000  2 Hg 3.21
Sr2 0.0000 0.5000 0.0000  2 Hg 3.21

Results
D(E_F)   4.9 states/eV/f.u.
Calculated volume   55.36 A^3/atom

<x>
VASP calculation (PBE) on KBaSr2Hg after structural relaxation.

a b c (Å): 6.5068 6.5068 6.6622
angles (deg): 90.00 90.00 90.00
Last column: nearest neighbours and their distance in Å.
Atoms (fractional coordinates):
Sr1 0.5000 0.0000 0.0000  2 Hg 3.25
Hg1 0.0000 0.0000 0.0000  4 Sr 3.25, 2 Ba 3.33
K1 0.5000 0.5000 0.5000  4 Ba 4.60, 8 Sr 4.66
Ba1 0.0000 0.0000 0.5000  2 Hg 3.33
Sr2 0.0000 0.5000 0.0000  2 Hg 3.25

Results
D(E_F)   4.6 states/eV/f.u.
Calculated volume   56.41 A^3/atom

Question: which arrangement is favored energetically? Ranking from most to least stable: <x>, <w>.